(1)
Here is a relaxed structure of MgTi2AlTe from Alexandria via LeMat-Bulk. Energies are from GGA-PBEsol.

Calculated values
* final energy: -23.244 eV for the cell shown
* E_form (uncorrected): 0.547 eV per atom
* symmetry: P4/mmm

```
MgTi2AlTe
1.0
-4.597 -1.294 -0.807
1.331 -4.673 -0.088
-0.755 -0.305 4.790
Mg Te Al Ti
1 1 1 2
Cartesian
-2.299 -0.647 -0.404 Mg
-2.011 -3.136 1.948 Te
0.000 0.000 0.000 Al
-0.378 -0.153 2.395 Ti
0.665 -2.336 -0.044 Ti
```

(2)
Here is a relaxed structure of SrP2S2 from Alexandria via LeMat-Bulk. Energies are from GGA-PBEsol.

Calculated values
* final energy: -23.728 eV for the cell shown
* ΔE to the lowest computed polymorph: 15 meV per atom
* E_form (uncorrected): -0.307 eV per atom
* symmetry: I4/mmm

```
SrP2S2
1.0
3.709 0.000 0.000
0.000 3.709 0.000
-1.855 -1.855 7.495
Sr S P
1 2 2
Cartesian
0.000 0.000 0.000 Sr
0.000 0.000 6.356 S
1.854 1.854 1.139 S
0.000 1.855 3.748 P
1.855 0.000 3.748 P
```

(3)
Here is a relaxed structure of LiYTe2 from Alexandria via LeMat-Bulk. Energies are from GGA-PBEsol.

Calculated values
* final energy: -20.026 eV for the cell shown
* E_form (uncorrected): -1.046 eV per atom
* symmetry: Immm

```
LiYTe2
1.0
-2.148 -3.886 -1.578
2.845 -3.123 -3.219
1.520 -4.590 2.198
Li Te Y
1 2 1
Cartesian
2.183 -3.856 -0.510 Li
2.599 -6.675 -1.172 Te
-0.383 -4.923 -1.427 Te
-1.074 -1.943 -0.789 Y
```